(1)
Tb3Pm4Pb4 | GGA-PBE | relaxed

Summary:
- calculated formation energy (meV/atom) = -396

Lattice parameters (Å, degrees): 3.6044 9.7705 10.9989 116.37 99.43 90.00
Closest atoms and distances in Å follow each position.
Positions (direct):
Tb  0.0913  0.0913  0.1826  6 Pb 3.16-3.32, 1 Tb 3.54
Tb  0.9087  0.9087  0.8174  6 Pb 3.16-3.32, 1 Tb 3.54
Tb  0.0000  0.5000  0.0000  4 Pb 3.27, 2 Tb 3.60
Pm  0.3382  0.1611  0.6764  4 Pb 3.29-3.39, 3 Pm 3.46-3.60
Pm  0.6618  0.4847  0.3236  4 Pb 3.29-3.39, 3 Pm 3.46-3.60
Pm  0.6618  0.8389  0.3236  4 Pb 3.29-3.39, 3 Pm 3.46-3.60
Pm  0.3382  0.5153  0.6764  4 Pb 3.29-3.39, 3 Pm 3.46-3.60
Pb  0.2746  0.7746  0.5492  2 Tb 3.16, 6 Pm 3.32-3.39
Pb  0.7254  0.2254  0.4508  2 Tb 3.16, 6 Pm 3.32-3.39
Pb  0.5000  0.7791  0.0000  6 Tb 3.27-3.32, 2 Pm 3.29, 2 Pb 3.60
Pb  0.5000  0.2209  0.0000  6 Tb 3.27-3.32, 2 Pm 3.29, 2 Pb 3.60

(2)
TbPm2Pb3 | GGA-PBE | relaxed

Summary:
- calculated formation energy (meV/atom) = -492
- offset from the most stable computed form (eV/f.u.) = 0.000

Lattice parameters (Å, degrees): 5.0121 8.0617 9.1182 90.00 90.00 71.89
Closest atoms and distances in Å follow each position.
Positions (direct):
Tb  0.3324  0.3352  0.0000  8 Pb 3.37-3.42, 2 Tb 3.56, 2 Pm 3.59
Tb  0.6676  0.6648  0.0000  8 Pb 3.37-3.42, 2 Tb 3.56, 2 Pm 3.59
Pm  0.0000  0.0000  0.0000  8 Pb 3.37-3.41, 4 Tb 3.59
Pm  0.0000  0.0000  0.5000  8 Pb 3.40-3.45, 4 Pm 3.58
Pm  0.3332  0.3336  0.5000  8 Pb 3.41-3.44, 4 Pm 3.58
Pm  0.6668  0.6664  0.5000  8 Pb 3.41-3.44, 4 Pm 3.58
Pb  0.8328  0.3349  0.7532  3 Tb 3.37-3.39, 5 Pm 3.41-3.45, 4 Pb 3.56-3.59
Pb  0.4996  0.0000  0.2473  6 Pm 3.37-3.44, 2 Tb 3.42, 4 Pb 3.59
Pb  0.1672  0.6651  0.2468  3 Tb 3.37-3.39, 5 Pm 3.41-3.45, 4 Pb 3.56-3.59
Pb  0.8323  0.3349  0.2468  3 Tb 3.37-3.39, 5 Pm 3.41-3.45, 4 Pb 3.56-3.59
Pb  0.1677  0.6651  0.7532  3 Tb 3.37-3.39, 5 Pm 3.41-3.45, 4 Pb 3.56-3.59
Pb  0.5004  0.0000  0.7527  6 Pm 3.37-3.44, 2 Tb 3.42, 4 Pb 3.59

(3)
Tb4PmPb4 | GGA-PBE | relaxed

Summary:
- calculated formation energy (meV/atom) = -256

Lattice parameters (Å, degrees): 6.2644 9.6641 9.6641 90.00 90.00 90.00
Closest atoms and distances in Å follow each position.
Positions (direct):
Tb  0.5003  0.2617  0.8955  5 Pb 3.15-3.19
Tb  0.0003  0.6045  0.7617  5 Pb 3.15-3.19
Tb  0.5003  0.7383  0.1045  5 Pb 3.15-3.19
Tb  0.9997  0.2383  0.6045  5 Pb 3.15-3.19
Tb  0.4997  0.8955  0.7383  5 Pb 3.15-3.19
Tb  0.9997  0.7617  0.3955  5 Pb 3.15-3.19
Tb  0.0003  0.3955  0.2383  5 Pb 3.15-3.19
Tb  0.4997  0.1045  0.2617  5 Pb 3.15-3.19
Pm  0.0000  0.0000  0.0000  4 Pb 3.17
Pm  0.5000  0.5000  0.5000  4 Pb 3.17
Pb  0.4996  0.8187  0.4210  5 Tb 3.15-3.19, 1 Pm 3.17
Pb  0.4996  0.1813  0.5790  5 Tb 3.15-3.19, 1 Pm 3.17
Pb  0.9996  0.9210  0.6813  5 Tb 3.15-3.19, 1 Pm 3.17
Pb  0.0004  0.3187  0.9210  5 Tb 3.15-3.19, 1 Pm 3.17
Pb  0.0004  0.6813  0.0790  5 Tb 3.15-3.19, 1 Pm 3.17
Pb  0.5004  0.4210  0.1813  5 Tb 3.15-3.19, 1 Pm 3.17
Pb  0.5004  0.5790  0.8187  5 Tb 3.15-3.19, 1 Pm 3.17
Pb  0.9996  0.0790  0.3187  5 Tb 3.15-3.19, 1 Pm 3.17

(4)
TbPm4Pb5 | GGA-PBE | relaxed

Summary:
- calculated formation energy (meV/atom) = -496

Lattice parameters (Å, degrees): 3.5787 3.5787 22.9343 90.00 90.00 90.00
Closest atoms and distances in Å follow each position.
Positions (direct):
Tb  0.0000  0.0000  0.0000  8 Pb 3.37, 4 Tb 3.58
Pm  0.0000  0.0000  0.1982  8 Pb 3.42-3.43, 4 Pm 3.58
Pm  0.0000  0.0000  0.3993  8 Pb 3.42-3.43, 4 Pm 3.58
Pm  0.0000  0.0000  0.6007  8 Pb 3.42-3.43, 4 Pm 3.58
Pm  0.0000  0.0000  0.8018  8 Pb 3.42-3.43, 4 Pm 3.58
Pb  0.5000  0.5000  0.0971  4 Tb 3.37, 4 Pm 3.43, 4 Pb 3.58
Pb  0.5000  0.5000  0.2986  8 Pm 3.42, 4 Pb 3.58
Pb  0.5000  0.5000  0.5000  8 Pm 3.43, 4 Pb 3.58
Pb  0.5000  0.5000  0.7014  8 Pm 3.42, 4 Pb 3.58
Pb  0.5000  0.5000  0.9029  4 Tb 3.37, 4 Pm 3.43, 4 Pb 3.58

(5)
Tb3PmPb3 | GGA-PBE | relaxed

Summary:
- calculated formation energy (meV/atom) = -230

Lattice parameters (Å, degrees): 8.0317 8.0317 7.9213 88.82 88.82 113.55
Closest atoms and distances in Å follow each position.
Positions (direct):
Tb  0.6376  0.6376  0.3720  1 Pb 3.01, 1 Tb 3.10
Tb  0.1472  0.8528  0.5000  6 Pb 3.10-3.31
Tb  0.8528  0.1472  0.5000  6 Pb 3.10-3.31
Tb  0.2179  0.7821  0.0000  4 Pb 3.17-3.36
Tb  0.7821  0.2179  0.0000  4 Pb 3.17-3.36
Tb  0.3624  0.3624  0.6280  1 Pb 3.01, 1 Tb 3.10
Pm  0.7005  0.7005  0.9116  4 Pb 3.05-3.23
Pm  0.2995  0.2995  0.0884  4 Pb 3.05-3.23
Pb  0.9490  0.9490  0.2012  5 Tb 3.01-3.36, 2 Pm 3.18-3.23, 1 Pb 3.28
Pb  0.8369  0.4796  0.6799  1 Pm 3.05, 3 Tb 3.10-3.31
Pb  0.4796  0.8369  0.6799  1 Pm 3.05, 3 Tb 3.10-3.31
Pb  0.1631  0.5204  0.3201  1 Pm 3.05, 3 Tb 3.10-3.31
Pb  0.5204  0.1631  0.3201  1 Pm 3.05, 3 Tb 3.10-3.31
Pb  0.0510  0.0510  0.7988  5 Tb 3.01-3.36, 2 Pm 3.18-3.23, 1 Pb 3.28

(6)
Tb5Pm2Pb4 | GGA-PBE | relaxed

Summary:
- calculated formation energy (meV/atom) = -130

Lattice parameters (Å, degrees): 3.5513 7.4607 13.7236 87.97 97.43 90.00
Closest atoms and distances in Å follow each position.
Positions (direct):
Tb  0.2368  0.7936  0.4735  3 Pb 3.20-3.28, 2 Tb 3.55
Tb  0.7632  0.2064  0.5265  3 Pb 3.20-3.28, 2 Tb 3.55
Tb  0.1432  0.1673  0.2865  3 Pb 3.16-3.24
Tb  0.5000  0.0000  0.0000  4 Pb 3.19, 2 Tb 3.55
Tb  0.8568  0.8327  0.7135  3 Pb 3.16-3.24
Pm  0.0892  0.7133  0.1784  4 Pb 3.28-3.39, 2 Pm 3.55, 2 Tb 3.64
Pm  0.9108  0.2867  0.8216  4 Pb 3.28-3.39, 2 Pm 3.55, 2 Tb 3.64
Pb  0.6760  0.5057  0.3520  5 Tb 3.20-3.28, 2 Pm 3.30, 2 Pb 3.55
Pb  0.9657  0.6711  0.9315  1 Pb 3.11, 3 Tb 3.16-3.19, 2 Pm 3.28-3.39
Pb  0.3240  0.4943  0.6480  5 Tb 3.20-3.28, 2 Pm 3.30, 2 Pb 3.55
Pb  0.0343  0.3289  0.0685  1 Pb 3.11, 3 Tb 3.16-3.19, 2 Pm 3.28-3.39

(7)
TbPm6Pb4 | GGA-PBE | relaxed

Summary:
- calculated formation energy (meV/atom) = -363

Lattice parameters (Å, degrees): 4.2506 9.9408 9.9408 120.00 90.00 90.00
Closest atoms and distances in Å follow each position.
Positions (direct):
Tb  0.0000  0.0000  0.0000  6 Pb 3.50
Pm  0.0000  0.5405  0.0809  5 Pb 3.40-3.57, 6 Pm 3.76-3.79
Pm  0.5000  0.6076  0.8038  4 Pb 3.12-3.18
Pm  0.0000  0.5405  0.4595  5 Pb 3.40-3.57, 6 Pm 3.76-3.79
Pm  0.0000  0.9191  0.4595  5 Pb 3.40-3.57, 6 Pm 3.76-3.79
Pm  0.5000  0.1962  0.8038  4 Pb 3.12-3.18
Pm  0.5000  0.1962  0.3924  4 Pb 3.12-3.18
Pb  0.5000  0.8383  0.6767  6 Pm 3.12-3.40
Pb  0.5000  0.3233  0.1617  6 Pm 3.12-3.40
Pb  0.5000  0.8383  0.1617  6 Pm 3.12-3.40
Pb  0.0000  0.3333  0.6667  6 Pm 3.18

(8)
TbPm3Pb2 | GGA-PBE | relaxed

Summary:
- calculated formation energy (meV/atom) = -397
- offset from the most stable computed form (eV/f.u.) = 0.269

Lattice parameters (Å, degrees): 4.9811 8.9782 9.6612 117.70 104.97 89.99
Closest atoms and distances in Å follow each position.
Positions (direct):
Tb  0.0000  0.5000  0.0000  8 Pm 3.35-3.66, 4 Pb 3.49
Tb  0.0000  0.0000  0.0000  8 Pm 3.35-3.66, 4 Pb 3.49
Pm  0.5000  0.2500  0.0000  4 Pb 3.32, 4 Tb 3.35
Pm  0.5000  0.7500  0.0000  4 Pb 3.32, 4 Tb 3.35
Pm  0.8235  0.0737  0.6474  6 Pb 3.38-3.63, 2 Pm 3.47, 2 Tb 3.65-3.66
Pm  0.1765  0.4263  0.3526  6 Pb 3.38-3.63, 2 Pm 3.47, 2 Tb 3.65-3.66
Pm  0.1765  0.9263  0.3526  6 Pb 3.38-3.63, 2 Pm 3.47, 2 Tb 3.65-3.66
Pm  0.8235  0.5737  0.6474  6 Pb 3.38-3.63, 2 Pm 3.47, 2 Tb 3.65-3.66
Pb  0.3501  0.3504  0.7007  8 Pm 3.32-3.63, 2 Tb 3.49
Pb  0.6499  0.1496  0.2993  8 Pm 3.32-3.63, 2 Tb 3.49
Pb  0.3501  0.8504  0.7007  8 Pm 3.32-3.63, 2 Tb 3.49
Pb  0.6499  0.6496  0.2993  8 Pm 3.32-3.63, 2 Tb 3.49

(9)
TbPm12Pb7 | GGA-PBE | relaxed

Summary:
- calculated formation energy (meV/atom) = -289

Lattice parameters (Å, degrees): 9.6371 9.6371 9.6371 110.92 110.92 110.92
Closest atoms and distances in Å follow each position.
Positions (direct):
Tb  0.0000  0.0000  0.0000  6 Pb 3.49
Pm  0.0000  0.2767  0.7234  4 Pb 3.20-3.49, 2 Pm 3.36
Pm  0.7233  0.2766  0.0000  4 Pb 3.20-3.49, 2 Pm 3.36
Pm  0.4970  0.1613  0.4969  1 Pm 3.15, 4 Pb 3.23-3.40
Pm  0.8387  0.5031  0.5030  1 Pm 3.15, 4 Pb 3.23-3.40
Pm  0.2766  0.0000  0.7233  4 Pb 3.20-3.49, 2 Pm 3.36
Pm  0.5031  0.5030  0.8387  1 Pm 3.15, 4 Pb 3.23-3.40
Pm  0.4969  0.4970  0.1613  1 Pm 3.15, 4 Pb 3.23-3.40
Pm  0.7234  0.0000  0.2767  4 Pb 3.20-3.49, 2 Pm 3.36
Pm  0.1613  0.4969  0.4970  1 Pm 3.15, 4 Pb 3.23-3.40
Pm  0.5030  0.8387  0.5031  1 Pm 3.15, 4 Pb 3.23-3.40
Pm  0.2767  0.7234  0.0000  4 Pb 3.20-3.49, 2 Pm 3.36
Pm  0.0000  0.7233  0.2766  4 Pb 3.20-3.49, 2 Pm 3.36
Pb  0.8660  0.5615  0.8659  7 Pm 3.20-3.49, 1 Tb 3.49
Pb  0.4385  0.1341  0.1340  7 Pm 3.20-3.49, 1 Tb 3.49
Pb  0.1341  0.1340  0.4385  7 Pm 3.20-3.49, 1 Tb 3.49
Pb  0.5000  0.5000  0.5000  6 Pm 3.24
Pb  0.8659  0.8660  0.5615  7 Pm 3.20-3.49, 1 Tb 3.49
Pb  0.5615  0.8659  0.8660  7 Pm 3.20-3.49, 1 Tb 3.49
Pb  0.1340  0.4385  0.1341  7 Pm 3.20-3.49, 1 Tb 3.49

(10)
TbPm6Pb | GGA-PBE | relaxed

Summary:
- calculated formation energy (meV/atom) = -143

Lattice parameters (Å, degrees): 4.9969 4.9969 10.3562 90.00 90.00 90.00
Closest atoms and distances in Å follow each position.
Positions (direct):
Tb  0.0000  0.0000  0.5000  12 Pm 3.53-3.64
Pm  0.5000  0.5000  0.0000  4 Pb 3.53, 8 Pm 3.55
Pm  0.5000  0.5000  0.5000  4 Tb 3.53, 8 Pm 3.64
Pm  0.5000  0.0000  0.2442  8 Pm 3.53-3.64, 2 Pb 3.55, 2 Tb 3.64
Pm  0.5000  0.0000  0.7558  8 Pm 3.53-3.64, 2 Pb 3.55, 2 Tb 3.64
Pm  0.0000  0.5000  0.2442  8 Pm 3.53-3.64, 2 Pb 3.55, 2 Tb 3.64
Pm  0.0000  0.5000  0.7558  8 Pm 3.53-3.64, 2 Pb 3.55, 2 Tb 3.64
Pb  0.0000  0.0000  0.0000  12 Pm 3.53-3.55

(11)
TbPmTlPb | GGA-PBE | relaxed

Summary:
- calculated formation energy (meV/atom) = -395
- offset from the most stable computed form (eV/f.u.) = 0.141

Lattice parameters (Å, degrees): 5.4694 5.4694 5.4694 60.00 60.00 60.00
Closest atoms and distances in Å follow each position.
Positions (direct):
Pb  0.5000  0.5000  0.5000  4 Pm 3.35, 4 Tb 3.35
Tl  0.0000  0.0000  0.0000  4 Tb 3.35, 4 Pm 3.35
Tb  0.2500  0.2500  0.2500  4 Pb 3.35, 4 Tl 3.35
Pm  0.7500  0.7500  0.7500  4 Tl 3.35, 4 Pb 3.35

What did the second record say?
TbPm2Pb3 | GGA-PBE | relaxed

Summary:
- calculated formation energy (meV/atom) = -492
- offset from the most stable computed form (eV/f.u.) = 0.000

Lattice parameters (Å, degrees): 5.0121 8.0617 9.1182 90.00 90.00 71.89
Closest atoms and distances in Å follow each position.
Positions (direct):
Tb  0.3324  0.3352  0.0000  8 Pb 3.37-3.42, 2 Tb 3.56, 2 Pm 3.59
Tb  0.6676  0.6648  0.0000  8 Pb 3.37-3.42, 2 Tb 3.56, 2 Pm 3.59
Pm  0.0000  0.0000  0.0000  8 Pb 3.37-3.41, 4 Tb 3.59
Pm  0.0000  0.0000  0.5000  8 Pb 3.40-3.45, 4 Pm 3.58
Pm  0.3332  0.3336  0.5000  8 Pb 3.41-3.44, 4 Pm 3.58
Pm  0.6668  0.6664  0.5000  8 Pb 3.41-3.44, 4 Pm 3.58
Pb  0.8328  0.3349  0.7532  3 Tb 3.37-3.39, 5 Pm 3.41-3.45, 4 Pb 3.56-3.59
Pb  0.4996  0.0000  0.2473  6 Pm 3.37-3.44, 2 Tb 3.42, 4 Pb 3.59
Pb  0.1672  0.6651  0.2468  3 Tb 3.37-3.39, 5 Pm 3.41-3.45, 4 Pb 3.56-3.59
Pb  0.8323  0.3349  0.2468  3 Tb 3.37-3.39, 5 Pm 3.41-3.45, 4 Pb 3.56-3.59
Pb  0.1677  0.6651  0.7532  3 Tb 3.37-3.39, 5 Pm 3.41-3.45, 4 Pb 3.56-3.59
Pb  0.5004  0.0000  0.7527  6 Pm 3.37-3.44, 2 Tb 3.42, 4 Pb 3.59

- Which value of calculated formation energy does entry 2 give?
  -492 meV/atom